a.
{
  "formula": "NiOs4",
  "functional": "GGA-PBE",
  "state": "optimized geometry",
  "lattice": [[-3.489, 1.383, 2.156], [-2.526, -1.252, -3.284], [-0.426, -3.906, 1.817]],
  "species": ["Os", "Os", "Os", "Os", "Ni"],
  "fractional_positions": [[0.500, 0.000, 0.500], [0.000, 0.000, 0.000], [0.500, 0.500, 0.000], [0.000, 0.500, 0.500], [0.500, 0.500, 0.500]]
}

---

b.
{
  "formula": "NiOs4",
  "functional": "GGA-PBE",
  "state": "optimized geometry",
  "lattice": [[-1.875, 1.875, 5.809], [1.875, -1.875, 5.809], [1.875, 1.875, -5.809]],
  "species": ["Os", "Os", "Ni", "Os", "Os"],
  "fractional_positions": [[0.750, 0.250, 0.500], [0.398, 0.398, 0.000], [0.000, 0.000, 0.000], [0.602, 0.602, 0.000], [0.250, 0.750, 0.500]]
}

---

Stability comparison, relative energies in meV per atom: a 1248; b 0

---

a.
{
  "formula": "Ni5Os",
  "functional": "GGA-PBE",
  "state": "optimized geometry",
  "lattice": [[2.574, 0.000, 0.000], [-1.287, 4.659, 0.009], [0.000, 1.568, 5.780]],
  "species": ["Os", "Ni", "Ni", "Ni", "Ni", "Ni"],
  "fractional_positions": [[0.721, 0.442, 0.056], [0.333, 0.666, 0.335], [0.389, 0.779, 0.721], [0.055, 0.109, 0.393], [0.000, 0.000, 0.998], [0.669, 0.337, 0.664]]
}

---

b.
{
  "formula": "Ni5Os",
  "functional": "GGA-PBE",
  "state": "optimized geometry",
  "lattice": [[-3.890, -1.645, 1.879], [-2.639, 2.743, 2.624], [-4.108, 1.436, -1.560]],
  "species": ["Ni", "Ni", "Ni", "Os", "Ni", "Ni"],
  "fractional_positions": [[0.625, 0.625, 0.625], [0.126, 0.625, 0.625], [0.625, 0.625, 0.126], [0.000, 0.000, 0.000], [0.625, 0.126, 0.625], [0.250, 0.250, 0.250]]
}

---

c.
{
  "formula": "Ni5Os",
  "functional": "GGA-PBE",
  "state": "optimized geometry",
  "lattice": [[2.298, -3.980, 0.000], [2.298, 3.980, 0.000], [0.000, 0.000, 3.992]],
  "species": ["Ni", "Ni", "Ni", "Os", "Ni", "Ni"],
  "fractional_positions": [[0.000, 0.500, 0.500], [0.500, 0.500, 0.500], [0.500, 0.000, 0.500], [0.000, 0.000, 0.000], [0.333, 0.667, 0.000], [0.667, 0.333, 0.000]]
}

---

Stability comparison, relative energies in meV per atom: a 0; b 158; c 355

---

a.
{
  "formula": "NiOs5",
  "functional": "GGA-PBE",
  "state": "optimized geometry",
  "lattice": [[-4.802, -1.098, 0.821], [2.230, -1.536, -4.195], [1.234, -3.852, 2.067]],
  "species": ["Os", "Ni", "Os", "Os", "Os", "Os"],
  "fractional_positions": [[0.667, 0.333, 0.000], [0.000, 0.000, 0.000], [0.500, 0.500, 0.500], [0.333, 0.667, 0.000], [0.000, 0.500, 0.500], [0.500, 0.000, 0.500]]
}

---

b.
{
  "formula": "NiOs5",
  "functional": "GGA-PBE",
  "state": "optimized geometry",
  "lattice": [[-1.151, -2.184, 1.191], [-1.303, -4.143, -5.703], [3.893, -1.816, 0.430]],
  "species": ["Os", "Os", "Ni", "Os", "Os", "Os"],
  "fractional_positions": [[0.553, 0.894, 0.500], [0.222, 0.557, 0.500], [0.001, 0.999, 0.000], [0.892, 0.216, 0.500], [0.666, 0.668, 0.000], [0.333, 0.333, 0.000]]
}

---

c.
{
  "formula": "NiOs5",
  "functional": "GGA-PBE",
  "state": "optimized geometry",
  "lattice": [[0.615, -0.953, 4.938], [-0.975, 3.611, 3.417], [-4.044, -0.401, 3.026]],
  "species": ["Os", "Os", "Ni", "Os", "Os", "Os"],
  "fractional_positions": [[0.375, 0.875, 0.375], [0.875, 0.375, 0.375], [0.000, 0.000, 0.000], [0.750, 0.750, 0.750], [0.375, 0.375, 0.375], [0.375, 0.375, 0.875]]
}

---

d.
{
  "formula": "NiOs5",
  "functional": "GGA-PBE",
  "state": "optimized geometry",
  "lattice": [[2.781, 0.000, 0.000], [0.000, 4.339, 0.000], [0.000, -2.170, 6.951]],
  "species": ["Os", "Ni", "Os", "Os", "Os", "Os"],
  "fractional_positions": [[0.500, 0.144, 0.288], [0.000, 0.000, 0.000], [0.500, 0.500, 0.000], [0.000, 0.311, 0.622], [0.000, 0.689, 0.378], [0.500, 0.856, 0.712]]
}

---

Stability comparison, relative energies in meV per atom: a 968; b 0; c 874; d 249

---

a.
{
  "formula": "NiP2Os",
  "functional": "GGA-PBE",
  "state": "optimized geometry",
  "lattice": [[2.714, -0.003, 0.000], [-1.185, 2.442, 0.000], [0.000, 0.000, 9.502]],
  "species": ["P", "Ni", "Os", "P"],
  "fractional_positions": [[0.000, 0.000, 0.935], [0.000, 0.000, 0.501], [0.500, 0.500, 0.741], [0.500, 0.500, 0.324]]
}

---

b.
{
  "formula": "NiP2Os",
  "functional": "GGA-PBE",
  "state": "optimized geometry",
  "lattice": [[2.863, -0.001, 0.000], [-1.505, 2.436, 0.000], [0.000, 0.000, 7.725]],
  "species": ["P", "Os", "Ni", "P"],
  "fractional_positions": [[0.000, 0.000, 0.493], [0.500, 0.500, 0.750], [0.500, 0.500, 0.250], [0.000, 0.000, 0.007]]
}

---

Stability comparison, relative energies in meV per atom: a 0; b 19